No. 1
DFT (PBE-GGA) results for a relaxed ScFeAs2 crystal.

The structure in POSCAR format:
```
ScFeAs2
1.0
5.0371 -1.8050 0.0000
5.0371 1.8050 0.0000
-0.7481 0.0000 3.8608
Sc Fe As
1 1 2
Direct
0.0000 0.0000 0.0000 Sc
0.7687 0.7687 0.4088 Fe
0.2778 0.2778 0.9420 As
0.5379 0.5379 0.5184 As
```

## Properties
Energy of formation in kJ/mol of atoms: -39.5
Calculated total energy in eV/atom: -6.433
Energy above the most stable polymorph in this dataset in meV per atom: 146.6

No. 2
DFT (PBE-GGA) results for a relaxed Ga2HgPb crystal.

The structure in POSCAR format:
```
Ga2HgPb
1.0
5.3643 0.0000 0.0000
0.0000 5.3643 0.0000
0.0000 0.0000 3.3990
Ga Hg Pb
2 1 1
Direct
0.0000 0.5000 0.0000 Ga
0.5000 0.0000 0.0000 Ga
0.0000 0.0000 0.5000 Hg
0.5000 0.5000 0.5000 Pb
```

## Properties
Energy of formation in kJ/mol of atoms: 7.6
Calculated total energy in eV/atom: -2.437
Energy above the most stable polymorph in this dataset in meV per atom: 10.8

No. 3
DFT (PBE-GGA) results for a relaxed ThCu3P3 crystal.

The structure in POSCAR format:
```
ThCu3P3
1.0
3.3719 1.9467 6.6371
-3.3719 1.9467 6.6371
0.0000 -3.8935 6.6371
Th Cu P
2 6 6
Direct
0.1666 0.1666 0.1666 Th
0.8334 0.8334 0.8334 Th
0.0409 0.3778 0.7078 Cu
0.2922 0.9591 0.6222 Cu
0.3778 0.7078 0.0409 Cu
0.6222 0.2922 0.9591 Cu
0.7078 0.0409 0.3778 Cu
0.9591 0.6222 0.2922 Cu
0.0798 0.7405 0.4082 P
0.2595 0.5918 0.9202 P
0.4082 0.0798 0.7405 P
0.5918 0.9202 0.2595 P
0.7405 0.4082 0.0798 P
0.9202 0.2595 0.5918 P
```

## Properties
Energy of formation in kJ/mol of atoms: -43.5
Calculated total energy in eV/atom: -5.585
Energy above the most stable polymorph in this dataset in meV per atom: 0.0

No. 4
DFT (PBE-GGA) results for a relaxed DyNi2P2 crystal.

The structure in POSCAR format:
```
DyNi2P2
1.0
-1.9409 1.9409 4.6793
1.9409 -1.9409 4.6793
1.9409 1.9409 -4.6793
Dy Ni P
1 2 2
Direct
0.0000 0.0000 0.0000 Dy
0.2500 0.7500 0.5000 Ni
0.7500 0.2500 0.5000 Ni
0.3766 0.3766 0.0000 P
0.6234 0.6234 0.0000 P
```

## Properties
Energy of formation in kJ/mol of atoms: -98.0
Calculated total energy in eV/atom: -6.413

No. 5
DFT (PBE-GGA) results for a relaxed Zr4AlNi2 crystal.

The structure in POSCAR format:
```
Zr4AlNi2
1.0
3.0563 0.0000 0.0000
-1.5282 2.6468 0.0000
0.0000 0.0000 33.8030
Zr Al Ni
8 2 4
Direct
0.0000 0.0000 0.0000 Zr
0.0000 0.0000 0.2425 Zr
0.0000 0.0000 0.5000 Zr
0.0000 0.0000 0.7425 Zr
0.3333 0.6667 0.1582 Zr
0.3333 0.6667 0.3767 Zr
0.6667 0.3333 0.6582 Zr
0.6667 0.3333 0.8767 Zr
0.0000 0.0000 0.0857 Al
0.0000 0.0000 0.5857 Al
0.3333 0.6667 0.3020 Ni
0.3333 0.6667 0.9378 Ni
0.6667 0.3333 0.4378 Ni
0.6667 0.3333 0.8020 Ni
```

## Properties
Energy of formation in kJ/mol of atoms: 14.6
Calculated total energy in eV/atom: -6.920
Energy above the most stable polymorph in this dataset in meV per atom: 472.5

No. 6
DFT (PBE-GGA) results for a relaxed LaMg2Re crystal.

The structure in POSCAR format:
```
LaMg2Re
1.0
-1.7196 2.4596 5.3975
1.7196 -2.4596 5.3975
1.7196 2.4596 -5.3975
La Mg Re
1 2 1
Direct
0.0000 0.0000 0.0000 La
0.2892 0.7892 0.5000 Mg
0.7108 0.2108 0.5000 Mg
0.5000 0.5000 0.0000 Re
```

## Properties
Energy of formation in kJ/mol of atoms: 29.0
Calculated total energy in eV/atom: -4.840
Energy above the most stable polymorph in this dataset in meV per atom: 0.0